Here is crystalline Ho4Tm3Bi4 at its relaxed geometry from Alexandria. Energies are from PBE.

The structure belongs to space group Amm2 (No. 38); the cell edges are 9.9208, 4.3541 and 15.4228 Å and the angles 90.00°, 90.00° and 90.00°. Symmetry generates all atoms from Ho at (0.0000, 0.0000, 0.0000), Ho at (0.2473, 0.0000, 0.5081), Ho at (0.5000, 0.0000, 0.0240), Tm at (0.0000, 0.0000, 0.6795), Tm at (0.2708, 0.0000, 0.8222), Bi at (0.0000, 0.0000, 0.3462), Bi at (0.2450, 0.0000, 0.1608) and Bi at (0.5000, 0.0000, 0.3659).

Its crystal system is orthorhombic. The value obtained for the formation energy is -0.44 eV/atom. The calculation puts the density of states at the Fermi level at 9.0 states/eV/f.u.

---

Here is crystalline ZnCoP2 at its relaxed geometry from Alexandria. Energies are from PBE.

The structure belongs to space group Immm (No. 71); the cell edges are 3.5821, 4.4511 and 6.7846 Å and the angles 90.00°, 90.00° and 90.00°. Symmetry generates all atoms from Zn at (0.0000, 0.0000, 0.0000), Co at (0.0000, 0.0000, 0.5000) and P at (0.0000, 0.5000, 0.2242).

Its crystal system is orthorhombic. The value obtained for the formation energy is 0.24 eV/atom. The calculation puts the density of states at the Fermi level at 1.8 states/eV/f.u.